No. 1
Entry from Alexandria: a relaxed TaTiAg3 crystal (GGA-PBE).

Cell: 4.775 4.775 4.775 Å, 90.00 90.00 90.00°
Fractional positions:
Ta: 0.000 0.000 0.000
Ti: 0.500 0.500 0.500
Ag: 0.000 0.500 0.500
Ag: 0.500 0.000 0.500
Ag: 0.500 0.500 0.000

Values from the calculation:
theoretical density: 8.4 g cm⁻³
E_form: 1.583 eV/atom

No. 2
Entry from Alexandria: a relaxed NdGe2RuRh crystal (GGA-PBE).

Cell: 4.244 4.244 10.269 Å, 90.00 90.00 90.00°
Fractional positions:
Nd: 0.000 0.000 0.000
Nd: 0.500 0.500 0.500
Ge: 0.000 0.000 0.372
Ge: 0.000 0.000 0.628
Ge: 0.500 0.500 0.128
Ge: 0.500 0.500 0.872
Ru: 0.000 0.500 0.750
Ru: 0.500 0.000 0.250
Rh: 0.000 0.500 0.250
Rh: 0.500 0.000 0.750

Values from the calculation:
theoretical density: 8.9 g cm⁻³
E_form: -0.797 eV/atom

No. 3
Entry from Alexandria: a relaxed Tb2SmCd crystal (GGA-PBE).

Cell: 3.621 3.621 32.467 Å, 90.00 90.00 120.00°
Fractional positions:
Tb: 0.000 0.000 0.000
Tb: 0.000 0.000 0.180
Tb: 0.333 0.667 0.667
Tb: 0.333 0.667 0.846
Tb: 0.667 0.333 0.333
Tb: 0.667 0.333 0.513
Sm: 0.000 0.000 0.757
Sm: 0.333 0.667 0.423
Sm: 0.667 0.333 0.090
Cd: 0.000 0.000 0.590
Cd: 0.333 0.667 0.257
Cd: 0.667 0.333 0.923

Values from the calculation:
theoretical density: 7.8 g cm⁻³
E_form: -0.060 eV/atom

No. 4
Entry from Alexandria: a relaxed Sr3P2Pd9Pb crystal (GGA-PBE).

Cell: 6.381 6.381 9.387 Å, 90.00 90.00 120.00°
Fractional positions:
Sr: 0.000 0.000 0.000
Sr: 0.333 0.667 0.673
Sr: 0.667 0.333 0.327
P: 0.333 0.667 0.157
P: 0.667 0.333 0.843
Pd: 0.000 0.500 0.000
Pd: 0.152 0.305 0.273
Pd: 0.152 0.848 0.273
Pd: 0.305 0.152 0.727
Pd: 0.500 0.000 0.000
Pd: 0.500 0.500 0.000
Pd: 0.695 0.848 0.273
Pd: 0.848 0.152 0.727
Pd: 0.848 0.695 0.727
Pb: 0.000 0.000 0.500

Values from the calculation:
theoretical density: 7.5 g cm⁻³
E_form: -0.596 eV/atom

Short version: total moment = 0.71 0.00 0.00 0.00 Bohr magnetons per cell, in the order given.